Entry 1:
A geometry-optimized PbCI2O structure, computed with PBE.

Computed properties:
**Final energy**: -2.8840 eV/atom
**E above lowest polymorph**: 472.5 meV/atom
**Energy relative to the elements, uncorrected**: 1.31 eV per atom

a = 6.3075 Å, b = 6.3075 Å, c = 4.2246 Å
α = 90.00°, β = 90.00°, γ = 90.00°
With the nearest neighbours (Å) after each atom.
Atoms (fractional coordinates):
Pb 0.0000 0.0000 0.0000  2 O 2.11
C 0.5000 0.5000 0.5000  8 I 3.80, 2 C 4.22
I 0.0000 0.5000 0.0000  2 Pb 3.15
I 0.5000 0.0000 0.0000  2 Pb 3.15
O 0.0000 0.0000 0.5000  2 Pb 2.11

=====

Entry 2:
A geometry-optimized CaY3Ir structure, computed with PBE.

Computed properties:
**Formation energy**: -0.3802 eV per atom
**Final energy**: -6.4311 eV/atom
**E above lowest polymorph**: 23.3 meV/atom

a = 8.5934 Å, b = 8.5934 Å, c = 12.2117 Å
α = 127.14°, β = 127.14°, γ = 25.73°
With the nearest neighbours (Å) after each atom.
Atoms (fractional coordinates):
Ca 0.0000 0.0000 0.0000  8 Y 3.59-3.86, 2 Ca 3.83
Ca 0.6200 0.6200 0.8425  7 Y 3.65-3.95, 4 Ca 3.83-4.02, 1 Ir 3.99
Y 0.0042 0.0042 0.4898  4 Ir 2.97-2.99
Y 0.1460 0.1460 0.3722  3 Ir 2.83-2.96
Y 0.2675 0.2675 0.7696  2 Ir 2.78
Y 0.3998 0.3998 0.1670  9 Y 3.59-3.89, 1 Ir 3.84, 2 Ca 3.86
Y 0.7452 0.7452 0.2209  2 Ir 2.77
Y 0.8629 0.8629 0.6163  3 Ir 2.85-2.91
Ir 0.3458 0.3458 0.4299  7 Y 2.77-2.97
Ir 0.6667 0.6667 0.5595  7 Y 2.78-2.99

=====

Which formula does entry 1 have?
PbCI2O

=====

What is the final energy in the first record?
-2.8840 eV/atom